No. 1
A geometry-optimized Sr2TbReO6 structure. Source: Alexandria via LeMat-Bulk, functional GGA-PBEsol.

Properties
raw formation energy = -2611.6 meV per atom
total moment = 0.07 μB/atom

Unit cell a=5.8394 b=5.8394 c=5.8394 alpha=60.00 beta=60.00 gamma=60.00
Each line ends with the local moment (μB).
Fractional positions:
1 Sr 0.2500 0.2500 0.2500  0.01
2 Sr 0.7500 0.7500 0.7500  0.01
3 Tb 0.5000 0.5000 0.5000  0.02
4 Re 0.0000 0.0000 0.0000  0.47
5 O 0.2349 0.7651 0.2349  0.01
6 O 0.7651 0.7651 0.2349  0.01
7 O 0.2349 0.2349 0.7651  0.01
8 O 0.7651 0.2349 0.2349  0.01
9 O 0.7651 0.2349 0.7651  0.01
10 O 0.2349 0.7651 0.7651  0.01

---

No. 2
A geometry-optimized Sr2YReO6 structure. Source: Alexandria via LeMat-Bulk, functional GGA-PBEsol.

Properties
raw formation energy = -2629.0 meV per atom
total moment = 0.10 μB/atom

Unit cell a=5.8181 b=5.8181 c=5.8181 alpha=60.00 beta=60.00 gamma=60.00
Each line ends with the local moment (μB).
Fractional positions:
1 Sr 0.2500 0.2500 0.2500  0.01
2 Sr 0.7500 0.7500 0.7500  0.01
3 Y 0.5000 0.5000 0.5000  0.03
4 Re 0.0000 0.0000 0.0000  0.70
5 O 0.2359 0.7641 0.2359  0.02
6 O 0.7641 0.7641 0.2359  0.02
7 O 0.2359 0.2359 0.7641  0.02
8 O 0.7641 0.2359 0.2359  0.02
9 O 0.7641 0.2359 0.7641  0.02
10 O 0.2359 0.7641 0.7641  0.02

---

No. 3
A geometry-optimized Sr2ZnReO6 structure. Source: Alexandria via LeMat-Bulk, functional GGA-PBEsol.

Properties
raw formation energy = -2181.4 meV per atom
total moment = 0.10 μB/atom

Unit cell a=5.5819 b=5.6088 c=7.8911 alpha=89.90 beta=90.00 gamma=90.00
Each line ends with the local moment (μB).
Fractional positions:
1 Sr 0.4787 0.5036 0.7496  0.01
2 Sr 0.9787 0.9964 0.7504  0.01
3 Sr 0.5213 0.4964 0.2504  0.01
4 Sr 0.0213 0.0036 0.2496  0.01
5 Zn 0.5000 0.0000 0.0000  0.01
6 Zn 0.0000 0.5000 0.5000  0.01
7 O 0.7663 0.2143 0.4696  0.73
8 O 0.2337 0.7857 0.5304  0.73
9 O 0.2663 0.2857 0.0304  0.02
10 O 0.7839 0.2356 0.0291  0.02
11 O 0.0068 0.4433 0.7596  0.02
12 O 0.4932 0.9433 0.2596  0.02
13 O 0.7161 0.7356 0.5291  0.02
14 O 0.7337 0.7143 0.9696  0.02
15 O 0.9932 0.5567 0.2404  0.02
16 O 0.2839 0.2644 0.4709  0.02
17 O 0.2161 0.7644 0.9709  0.02
18 O 0.5068 0.0567 0.7404  0.02
19 Re 0.5000 0.0000 0.5000  0.02
20 Re 0.0000 0.5000 0.0000  0.02

---

No. 4
A geometry-optimized TaRe2O structure. Source: Alexandria via LeMat-Bulk, functional GGA-PBEsol.

Properties
raw formation energy = 837.0 meV per atom
total moment = 0.00 μB/atom

Unit cell a=4.3124 b=4.3124 c=4.3124 alpha=60.00 beta=60.00 gamma=60.00
Fractional positions:
1 Re 0.2500 0.2500 0.2500
2 Re 0.7500 0.7500 0.7500
3 O 0.0000 0.0000 0.0000
4 Ta 0.5000 0.5000 0.5000

---

No. 5
A geometry-optimized TaReO6 structure. Source: Alexandria via LeMat-Bulk, functional GGA-PBEsol.

Properties
raw formation energy = -2030.5 meV per atom
total moment = 0.00 μB/atom

Unit cell a=5.3208 b=5.4322 c=7.4897 alpha=90.00 beta=90.00 gamma=90.19
Fractional positions:
1 Ta 0.0000 0.5000 0.0000
2 Ta 0.0000 0.5000 0.5000
3 Re 0.5000 0.0000 0.0000
4 Re 0.5000 0.0000 0.5000
5 O 0.7418 0.2403 0.5390
6 O 0.2592 0.2410 0.4670
7 O 0.2582 0.7597 0.4610
8 O 0.7408 0.7590 0.9670
9 O 0.0799 0.5070 0.7500
10 O 0.7408 0.7590 0.5330
11 O 0.2592 0.2410 0.0330
12 O 0.7418 0.2403 0.9610
13 O 0.5700 0.0058 0.2500
14 O 0.2582 0.7597 0.0390
15 O 0.4300 0.9942 0.7500
16 O 0.9201 0.4930 0.2500

---

No. 6
A geometry-optimized Zr2TaReO structure. Source: Alexandria via LeMat-Bulk, functional GGA-PBEsol.

Properties
raw formation energy = 682.9 meV per atom
total moment = 0.00 μB/atom

Unit cell a=3.7187 b=5.1823 c=5.1823 alpha=90.00 beta=90.00 gamma=90.00
Fractional positions:
1 Re 0.5000 0.5000 0.5000
2 O 0.5000 0.0000 0.0000
3 Zr 0.0000 0.0000 0.5000
4 Zr 0.0000 0.5000 0.0000
5 Ta 0.0000 0.0000 0.0000

---

No. 7
A geometry-optimized ReTeO3 structure. Source: Alexandria via LeMat-Bulk, functional GGA-PBEsol.

Properties
raw formation energy = 568.3 meV per atom
total moment = 1.04 μB/atom

Unit cell a=4.1579 b=4.1579 c=4.1579 alpha=90.00 beta=90.00 gamma=90.00
Each line ends with the local moment (μB).
Fractional positions:
1 Re 0.5000 0.5000 0.5000  4.14
2 Te 0.0000 0.0000 0.0000  -0.02
3 O 0.0000 0.5000 0.0000  0.09
4 O 0.0000 0.0000 0.5000  0.09
5 O 0.5000 0.0000 0.0000  0.09

---

No. 8
A geometry-optimized TiReO2 structure. Source: Alexandria via LeMat-Bulk, functional GGA-PBEsol.

Properties
raw formation energy = -530.0 meV per atom
total moment = 0.00 μB/atom

Unit cell a=3.8309 b=3.8309 c=3.8309 alpha=60.00 beta=60.00 gamma=60.00
Fractional positions:
1 Re 0.5000 0.5000 0.5000
2 O 0.2500 0.2500 0.2500
3 O 0.7500 0.7500 0.7500
4 Ti 0.0000 0.0000 0.0000